Entry 1:
VASP calculation (PBE-GGA) on a geometry-optimized LiAc2O3 structure. Values from VASP.

Results
ΔE_f (raw) = -62.5 kcal/mol of atoms

Structure (Quantum ESPRESSO input):
```
&SYSTEM
  ibrav = 0, nat = 6, ntyp = 3
/
ATOMIC_SPECIES
Li 6.94 Li.upf
O 16.00 O.upf
Ac 227.00 Ac.upf
ATOMIC_POSITIONS crystal
Li 0.000 0.000 0.000
O 0.000 0.500 0.000
O 0.828 0.828 0.655
O 0.172 0.172 0.345
Ac 0.640 0.640 0.279
Ac 0.360 0.360 0.721
CELL_PARAMETERS angstrom
-2.499 1.681 -2.081
-2.658 -0.513 2.777
4.309 5.412 2.417
```

=====

Entry 2:
VASP calculation (PBE-GGA) on a geometry-optimized CrWBr2 structure. Values from VASP.

Results
ΔE_f (raw) = 21.0 kcal/mol of atoms
E above lowest polymorph = 742 meV/atom

Structure (Quantum ESPRESSO input):
```
&SYSTEM
  ibrav = 0, nat = 4, ntyp = 3
/
ATOMIC_SPECIES
Cr 52.00 Cr.upf
Br 79.90 Br.upf
W 183.84 W.upf
ATOMIC_POSITIONS crystal
Cr 0.500 0.250 0.250
Br 0.000 0.866 0.999
Br 0.000 0.634 0.501
W 0.500 0.750 0.750
CELL_PARAMETERS angstrom
4.364 0.000 0.000
0.000 3.117 -0.155
0.000 -0.923 5.958
```

=====

Entry 3:
VASP calculation (PBE-GGA) on a geometry-optimized BaCrRe2 structure. Values from VASP.

Results
Calculated formation energy = 1255 meV/atom
E above lowest polymorph = 467 meV/atom

Structure (Quantum ESPRESSO input):
```
&SYSTEM
  ibrav = 0, nat = 8, ntyp = 3
/
ATOMIC_SPECIES
Re 186.21 Re.upf
Ba 137.33 Ba.upf
Cr 52.00 Cr.upf
ATOMIC_POSITIONS crystal
Re 0.375 0.625 0.250
Re 0.875 0.625 0.750
Re 0.375 0.625 0.750
Re 0.375 0.125 0.250
Ba 0.750 0.250 0.500
Ba 0.000 0.000 0.000
Cr 0.500 0.500 0.000
Cr 0.250 0.750 0.500
CELL_PARAMETERS angstrom
-2.414 3.282 3.018
-3.498 0.735 -3.596
-7.351 -4.023 2.754
```

=====

Entry 4:
VASP calculation (PBE-GGA) on a geometry-optimized Mn2FeCo structure. Values from VASP.

Results
Calculated formation energy = 112 meV/atom
E above lowest polymorph = 102 meV/atom

Structure (Quantum ESPRESSO input):
```
&SYSTEM
  ibrav = 0, nat = 4, ntyp = 3
/
ATOMIC_SPECIES
Fe 55.84 Fe.upf
Mn 54.94 Mn.upf
Co 58.93 Co.upf
ATOMIC_POSITIONS crystal
Fe 0.500 0.500 0.751
Mn 0.000 0.000 0.003
Mn 0.500 0.500 0.246
Co 0.000 0.000 0.500
CELL_PARAMETERS angstrom
-1.953 0.858 1.187
-0.665 -1.206 -2.016
-0.432 -6.840 4.233
```